## MnSe (GGA-PBEsol)

Data for a relaxed structure of MnSe.

Computed properties:
- crystal system = monoclinic
- uncorrected energy (eV/cell) = -41.7
- SG = Cm, No. 8
- uncorrected formation energy (eV per atom) = -0.148

```
MnSe
1.0
-0.0310 -0.7574 3.1764
-2.5872 -4.8496 -2.8603
5.8426 0.2186 0.1092
Mn Se
3 3
Cartesian
0.2459 -2.6967 1.0380
2.1988 -2.8552 -0.6593
-0.8606 -4.1494 -0.9978
1.0959 -0.8500 -0.1920
1.3612 -4.7241 0.5655
3.7905 -2.6693 1.0792
```



## CoHg2Se (GGA-PBEsol)

Data for a relaxed structure of CoHg2Se.

Computed properties:
- crystal system = tetragonal
- uncorrected energy (eV/cell) = -11.2
- SG = P4/mmm, No. 123
- uncorrected formation energy (eV per atom) = 0.387

```
CoHg2Se
1.0
-2.5866 1.2101 -0.4926
-1.1738 -1.6723 2.0550
1.7726 6.2825 6.1250
Co Hg Se
1 2 1
Cartesian
-0.9939 2.9101 3.8437
1.2375 4.3859 4.2760
0.5351 1.8965 1.8490
-1.8802 -0.2311 0.7812
```



## Sc2AgTe (GGA-PBEsol)

Data for a relaxed structure of Sc2AgTe.

Computed properties:
- crystal system = tetragonal
- uncorrected energy (eV/cell) = -22.1
- SG = I4/mmm, No. 139
- uncorrected formation energy (eV per atom) = -0.518

```
Sc2AgTe
1.0
-3.8651 1.3046 1.8473
-2.2283 -2.8562 -2.6452
3.4211 -2.1660 3.2599
Ag Sc Te
1 2 1
Cartesian
-1.1142 -1.4281 -1.3226
-2.8594 -2.2474 1.0322
0.1871 -1.4702 1.4298
-1.9325 0.6523 0.9237
```



## TcAs2Ir (GGA-PBEsol)

Data for a relaxed structure of TcAs2Ir.

Computed properties:
- crystal system = monoclinic
- uncorrected energy (eV/cell) = -31.5
- energy relative to the elements (eV per atom) = -0.0536
- SG = Cm, No. 8
- energy above the lowest structure with this stoichiometry (eV per atom) = 0.000

```
TcAs2Ir
1.0
3.2445 0.0000 0.0000
-1.6223 4.1435 -0.0016
0.0000 -1.1763 4.6288
As Ir Tc
2 1 1
Cartesian
0.0000 -0.0346 0.6012
0.0000 1.2114 3.3080
1.6223 -0.5465 2.4674
1.6223 1.7487 0.5650
```